i.
Density functional theory data (PBE-GGA) for a geometry-optimized Y3NbN4 structure.

The magnetization is 0.0 μB/cell. The calculated volume is 13.55 Å³/atom.

The structure belongs to space group Cmmm (No. 65); the cell edges are 6.772, 9.519 and 3.362 Å and the angles 90.00°, 90.00° and 90.00°. The inequivalent atoms are Y at (0.000, 0.000, 0.000), Y at (0.250, 0.250, 0.500), Nb at (0.000, 0.500, 0.000), N at (0.000, 0.262, 0.000) and N at (0.233, 0.500, 0.500).

---

ii.
Density functional theory data (PBE-GGA) for a geometry-optimized Y3NbN4 structure.

The magnetization is 0.0 μB/cell. The calculated volume is 16.00 Å³/atom.

The structure belongs to space group Pmmn (No. 59, origin choice 2); the cell edges are 4.815, 7.895 and 6.735 Å and the angles 90.00°, 90.00° and 90.00°. The inequivalent atoms are Y at (0.250, 0.002, 0.172), Y at (0.250, 0.250, 0.655), Nb at (0.250, 0.750, 0.674), N at (0.250, 0.250, 0.326), N at (0.250, 0.515, 0.816) and N at (0.250, 0.750, 0.369).

---

Quick look at relative energies in meV/atom: i 0; ii 112.